DFT (PBE+U) results for a relaxed structure of MnF4.

Output
Calculated volume ... 12.4 A^3/atom
Crystal system ... trigonal
Total magnetization ... 3.00 μB/f.u.
Calculated total energy ... -4.970 eV/atom

a = 9.8731 Å, b = 9.8731 Å, c = 13.2471 Å
α = 90.00°, β = 90.00°, γ = 120.00°
Last column: nearest neighbours and their distance in Å.
Space group R-3c (No. 167, hexagonal axes)
Inequivalent atoms, fractional coordinates:
Mn: 0.0000 0.5000 0.0000 (multiplicity 18)  6 F 1.76-1.92
F: 0.0000 0.1832 0.2500 (multiplicity 18)  2 Mn 1.92
F: 0.0000 0.3158 0.7500 (multiplicity 18)  2 Mn 1.92
F: 0.0279 0.1800 0.9094 (multiplicity 36)  1 Mn 1.76